1.
CaTmMgPd (PBE-GGA, relaxed); electronic total energy = -58.4 eV per cell; calculated formation energy = -0.333 eV/atom; symmetry = F-43m, No. 216; total moment = 0.00 μB/f.u.
1.0
7.259 0.000 0.000
0.000 7.259 0.000
0.000 0.000 7.259
Ca Tm Mg Pd
4 4 4 4
direct
0.000 0.000 0.000
0.000 0.500 0.500
0.500 0.000 0.500
0.500 0.500 0.000
0.000 0.000 0.500
0.000 0.500 0.000
0.500 0.000 0.000
0.500 0.500 0.500
0.250 0.250 0.250
0.250 0.750 0.750
0.750 0.250 0.750
0.750 0.750 0.250
0.250 0.250 0.750
0.250 0.750 0.250
0.750 0.250 0.250
0.750 0.750 0.750

=====

2.
CsTa3Zn (PBE-GGA, relaxed); electronic total energy = -21.8 eV per cell; calculated formation energy = 3.168 eV/atom; energy relative to the lowest polymorph listed for this composition = 1125 meV/atom; symmetry = Pm-3m, No. 221; total moment = 0.00 μB/f.u.
1.0
5.016 0.000 0.000
0.000 5.016 0.000
0.000 0.000 5.016
Cs Ta Zn
1 3 1
direct
0.000 0.000 0.000
0.000 0.000 0.500
0.000 0.500 0.000
0.500 0.000 0.000
0.500 0.500 0.500

=====

3.
ScIr2Os (PBE-GGA, relaxed); electronic total energy = -36.8 eV per cell; calculated formation energy = -0.371 eV/atom; energy relative to the lowest polymorph listed for this composition = 21 meV/atom; symmetry = P4/mmm, No. 123; total moment = 0.00 μB/f.u.
1.0
3.974 0.000 0.000
0.000 3.974 0.000
0.000 0.000 3.887
Sc Ir Os
1 2 1
direct
0.000 0.000 0.000
0.000 0.500 0.500
0.500 0.000 0.500
0.500 0.500 0.000

=====

4.
TbPaGa4 (PBE-GGA, relaxed); electronic total energy = -58.3 eV per cell; calculated formation energy = -0.487 eV/atom; energy relative to the lowest polymorph listed for this composition = 0 meV/atom; symmetry = I-4m2, No. 119; total moment = 0.00 μB/f.u.
1.0
4.151 0.000 0.000
0.000 4.151 0.000
0.000 0.000 14.590
Tb Pa Ga
2 2 8
direct
0.000 0.000 0.000
0.500 0.500 0.500
0.000 0.500 0.750
0.500 0.000 0.250
0.000 0.000 0.417
0.000 0.000 0.583
0.000 0.500 0.168
0.000 0.500 0.332
0.500 0.000 0.668
0.500 0.000 0.832
0.500 0.500 0.083
0.500 0.500 0.917

=====

5.
RbUAsS5 (PBE-GGA, relaxed); electronic total energy = -87.5 eV per cell; symmetry = C2/c, No. 15; total moment = 0.13 μB/f.u.; formation energy from raw total energies = -776 meV/atom
1.0
4.407 -5.776 0.000
4.407 5.776 0.000
-2.764 0.000 9.125
Rb U As S
2 2 2 10
direct
0.139 0.861 0.750
0.861 0.139 0.250
0.500 0.500 0.000
0.500 0.500 0.500
0.184 0.816 0.250
0.816 0.184 0.750
0.153 0.304 0.959
0.180 0.592 0.386
0.304 0.153 0.459
0.408 0.820 0.114
0.420 0.580 0.750
0.580 0.420 0.250
0.592 0.180 0.886
0.696 0.847 0.541
0.820 0.408 0.614
0.847 0.696 0.041

=====

6.
TmCuGe2 (PBE-GGA, relaxed); electronic total energy = -57.8 eV per cell; calculated formation energy = -0.362 eV/atom; symmetry = R-3m, No. 166; total moment = 0.00 μB/f.u.
1.0
4.123 0.000 0.000
-2.061 3.570 0.000
0.000 0.000 14.987
Tm Cu Ge
3 3 6
direct
0.000 0.000 0.000
0.333 0.667 0.667
0.667 0.333 0.333
0.000 0.000 0.500
0.333 0.667 0.167
0.667 0.333 0.833
0.000 0.000 0.223
0.000 0.000 0.777
0.333 0.667 0.444
0.333 0.667 0.889
0.667 0.333 0.111
0.667 0.333 0.556

=====

7.
Ce2BeRe (PBE-GGA, relaxed); electronic total energy = -75.5 eV per cell; calculated formation energy = 0.721 eV/atom; symmetry = R-3m, No. 166; total moment = 0.00 μB/f.u.
1.0
2.838 0.000 0.000
-1.419 2.458 0.000
0.000 0.000 34.211
Ce Be Re
6 3 3
direct
0.000 0.000 0.088
0.000 0.000 0.912
0.333 0.667 0.579
0.333 0.667 0.754
0.667 0.333 0.246
0.667 0.333 0.421
0.000 0.000 0.000
0.333 0.667 0.667
0.667 0.333 0.333
0.000 0.000 0.500
0.333 0.667 0.167
0.667 0.333 0.833

=====

8.
HoNpSe2 (PBE-GGA, relaxed); electronic total energy = -89.6 eV per cell; energy relative to the lowest polymorph listed for this composition = 67 meV/atom; symmetry = R3m, No. 160; total moment = 4.66 μB/f.u.; formation energy from raw total energies = -1344 meV/atom
1.0
3.922 0.000 0.000
-1.961 3.396 0.000
0.000 0.000 21.911
Ho Np Se
3 3 6
direct
0.000 0.000 0.000
0.333 0.667 0.667
0.667 0.333 0.333
0.000 0.000 0.173
0.333 0.667 0.840
0.667 0.333 0.507
0.000 0.000 0.416
0.000 0.000 0.590
0.333 0.667 0.083
0.333 0.667 0.257
0.667 0.333 0.749
0.667 0.333 0.923

=====

9.
ReW (PBE-GGA, relaxed); electronic total energy = -190.1 eV per cell; calculated formation energy = 0.821 eV/atom; energy relative to the lowest polymorph listed for this composition = 729 meV/atom; symmetry = P4/mcc, No. 124; total moment = 0.00 μB/f.u.
1.0
8.411 0.000 0.000
0.000 8.411 0.000
0.000 0.000 4.483
Re W
8 8
direct
0.111 0.226 0.000
0.111 0.774 0.500
0.226 0.111 0.500
0.226 0.889 0.000
0.774 0.111 0.000
0.774 0.889 0.500
0.889 0.226 0.500
0.889 0.774 0.000
0.133 0.414 0.500
0.133 0.586 0.000
0.414 0.133 0.000
0.414 0.867 0.500
0.586 0.133 0.500
0.586 0.867 0.000
0.867 0.414 0.000
0.867 0.586 0.500

=====

10.
Er4Tm4Al (PBE-GGA, relaxed); electronic total energy = -40.2 eV per cell; calculated formation energy = -0.033 eV/atom; symmetry = I4/mmm, No. 139; total moment = 0.00 μB/f.u.
1.0
-5.190 5.190 2.387
5.190 -5.190 2.387
5.190 5.190 -2.387
Er Tm Al
4 4 1
direct
0.160 0.160 0.320
0.160 0.840 0.000
0.840 0.160 0.000
0.840 0.840 0.680
0.167 0.500 0.667
0.500 0.167 0.667
0.500 0.833 0.333
0.833 0.500 0.333
0.500 0.500 0.000

=====

11.
NdAlZnNi (PBE-GGA, relaxed); electronic total energy = -67.4 eV per cell; calculated formation energy = -0.318 eV/atom; energy relative to the lowest polymorph listed for this composition = 95 meV/atom; symmetry = F-43m, No. 216; total moment = 0.00 μB/f.u.
1.0
6.627 0.000 0.000
0.000 6.627 0.000
0.000 0.000 6.627
Nd Al Zn Ni
4 4 4 4
direct
0.000 0.000 0.000
0.000 0.500 0.500
0.500 0.000 0.500
0.500 0.500 0.000
0.000 0.000 0.500
0.000 0.500 0.000
0.500 0.000 0.000
0.500 0.500 0.500
0.250 0.250 0.250
0.250 0.750 0.750
0.750 0.250 0.750
0.750 0.750 0.250
0.250 0.250 0.750
0.250 0.750 0.250
0.750 0.250 0.250
0.750 0.750 0.750

=====

12.
Ca2SiGe3 (PBE-GGA, relaxed); electronic total energy = -50.9 eV per cell; symmetry = Fmmm, No. 69; total moment = 0.00 μB/f.u.; formation energy from raw total energies = -363 meV/atom
1.0
0.000 4.747 6.877
4.291 0.000 6.877
4.291 4.747 0.000
Ca Si Ge
4 2 6
direct
0.250 0.250 0.250
0.250 0.750 0.750
0.750 0.250 0.250
0.750 0.750 0.750
0.166 0.166 0.834
0.834 0.834 0.166
0.144 0.674 0.326
0.326 0.856 0.144
0.341 0.341 0.659
0.659 0.659 0.341
0.674 0.144 0.856
0.856 0.326 0.674